Below is a relaxed structure of RbZr3Rh, with properties calculated at the PBE-GGA level.

Cell and atoms, written as POSCAR:
```
RbZr3Rh
1.0
5.2199 0.0000 0.0000
0.0000 5.2199 0.0000
0.0000 0.0000 5.2199
Zr Rb Rh
3 1 1
direct
0.0000 0.0000 0.5000 Zr
0.5000 0.0000 0.0000 Zr
0.0000 0.5000 0.0000 Zr
0.5000 0.5000 0.5000 Rb
0.0000 0.0000 0.0000 Rh
```

Computed properties:
Mass density (kg/m³): 5394
Space group: Pm-3m (221)
Energy above the lowest structure with this stoichiometry (meV per atom): 0.0
M_tot (Bohr magnetons per cell): 0.00
Formation energy from the elements (meV per atom): 513